Entry from Alexandria: crystalline TiVO2 at its relaxed geometry (PBE with a Hubbard U).

Output
* ΔE to the lowest computed polymorph: 0.000 eV per atom
* calculated density: 4.302 g cm⁻³
* space-group type: No. 166

Cell lengths 6.320, 6.320, 6.320 Å; angles 28.41, 28.41, 28.41 degrees
Site moments in Bohr magnetons follow the coordinates.
Sites, in units of the cell vectors:
Ti 0.500 0.500 0.500  -0.29
O 0.113 0.113 0.113  0.01
O 0.887 0.887 0.887  0.01
V 0.000 0.000 0.000  2.62